1.
Here is InFeRh2 after structural relaxation from Alexandria via LeMat-Bulk. Energies are from GGA-PBEsol.

Computed properties:
The formation energy from the elements comes out at 5 meV per atom.

a b c (Å): 2.813 3.817 5.441
angles (deg): 90.00 90.00 90.00
Fractional positions:
In (0.000, 0.000, 0.000)
Fe (0.500, 0.500, 0.705)
Rh (0.000, 0.000, 0.513)
Rh (0.500, 0.500, 0.243)

2.
Here is InFeRh2 after structural relaxation from Alexandria via LeMat-Bulk. Energies are from GGA-PBEsol.

Computed properties:
The formation energy from the elements comes out at -133 meV per atom.

a b c (Å): 4.300 4.300 3.155
angles (deg): 90.00 90.00 90.00
Fractional positions:
In (0.000, 0.000, 0.000)
Fe (0.500, 0.500, 0.000)
Rh (0.000, 0.500, 0.500)
Rh (0.500, 0.000, 0.500)

3.
Here is InFeRh2 after structural relaxation from Alexandria via LeMat-Bulk. Energies are from GGA-PBEsol.

Computed properties:
The formation energy from the elements comes out at -36 meV per atom.

a b c (Å): 3.792 3.792 8.063
angles (deg): 90.00 90.00 90.00
Fractional positions:
In (0.000, 0.000, 0.000)
In (0.500, 0.500, 0.500)
Fe (0.000, 0.500, 0.250)
Fe (0.500, 0.000, 0.750)
Rh (0.000, 0.000, 0.500)
Rh (0.000, 0.500, 0.750)
Rh (0.500, 0.000, 0.250)
Rh (0.500, 0.500, 0.000)

4.
Here is InFeRh2 after structural relaxation from Alexandria via LeMat-Bulk. Energies are from GGA-PBEsol.

Computed properties:
The formation energy from the elements comes out at 67 meV per atom.

a b c (Å): 2.814 2.814 7.246
angles (deg): 90.00 90.00 90.00
Fractional positions:
In (0.000, 0.000, 0.000)
Fe (0.500, 0.500, 0.734)
Rh (0.000, 0.000, 0.518)
Rh (0.500, 0.500, 0.268)

5.
Here is InFe2Ru after structural relaxation from Alexandria via LeMat-Bulk. Energies are from GGA-PBEsol.

Computed properties:
The formation energy from the elements comes out at 239 meV per atom.

a b c (Å): 3.796 3.796 3.878
angles (deg): 90.00 90.00 90.00
Fractional positions:
In (0.000, 0.000, 0.000)
Fe (0.000, 0.500, 0.500)
Fe (0.500, 0.000, 0.500)
Ru (0.500, 0.500, 0.000)

6.
Here is InFeRu2 after structural relaxation from Alexandria via LeMat-Bulk. Energies are from GGA-PBEsol.

Computed properties:
The formation energy from the elements comes out at 264 meV per atom.

a b c (Å): 8.980 2.831 4.636
angles (deg): 90.00 101.96 90.00
Fractional positions:
In (0.000, 0.000, 0.000)
In (0.500, 0.500, 0.000)
Fe (0.243, 0.000, 0.741)
Fe (0.743, 0.500, 0.741)
Ru (0.002, 0.500, 0.502)
Ru (0.260, 0.500, 0.302)
Ru (0.502, 0.000, 0.502)
Ru (0.760, 0.000, 0.302)

7.
Here is InFeRu2 after structural relaxation from Alexandria via LeMat-Bulk. Energies are from GGA-PBEsol.

Computed properties:
The formation energy from the elements comes out at 297 meV per atom.

a b c (Å): 2.907 4.517 8.777
angles (deg): 90.00 90.00 90.00
Fractional positions:
In (0.000, 0.000, 0.000)
In (0.500, 0.500, 0.500)
Fe (0.000, 0.000, 0.500)
Fe (0.500, 0.500, 0.000)
Ru (0.000, 0.500, 0.226)
Ru (0.000, 0.500, 0.774)
Ru (0.500, 0.000, 0.274)
Ru (0.500, 0.000, 0.726)

8.
Here is InFe2Ru after structural relaxation from Alexandria via LeMat-Bulk. Energies are from GGA-PBEsol.

Computed properties:
The formation energy from the elements comes out at 270 meV per atom.

a b c (Å): 2.725 2.725 7.309
angles (deg): 90.00 90.00 90.00
Fractional positions:
In (0.000, 0.000, 0.000)
Fe (0.500, 0.500, 0.273)
Fe (0.500, 0.500, 0.727)
Ru (0.000, 0.000, 0.500)

9.
Here is InFe2Ru after structural relaxation from Alexandria via LeMat-Bulk. Energies are from GGA-PBEsol.

Computed properties:
The formation energy from the elements comes out at 172 meV per atom.

a b c (Å): 2.965 2.965 6.242
angles (deg): 90.00 90.00 90.00
Fractional positions:
In (0.000, 0.000, 0.000)
Fe (0.000, 0.000, 0.521)
Fe (0.500, 0.500, 0.723)
Ru (0.500, 0.500, 0.299)

10.
Here is InFe2Ru after structural relaxation from Alexandria via LeMat-Bulk. Energies are from GGA-PBEsol.

Computed properties:
The formation energy from the elements comes out at 286 meV per atom.

a b c (Å): 3.832 3.832 7.561
angles (deg): 90.00 90.00 90.00
Fractional positions:
In (0.000, 0.000, 0.000)
In (0.500, 0.500, 0.500)
Fe (0.000, 0.500, 0.250)
Fe (0.000, 0.500, 0.750)
Fe (0.500, 0.000, 0.250)
Fe (0.500, 0.000, 0.750)
Ru (0.000, 0.000, 0.500)
Ru (0.500, 0.500, 0.000)

11.
Here is YInFeRu2 after structural relaxation from Alexandria via LeMat-Bulk. Energies are from GGA-PBEsol.

Computed properties:
The formation energy from the elements comes out at 1904 meV per atom.

a b c (Å): 4.780 4.780 5.238
angles (deg): 90.00 90.00 90.00
Fractional positions:
Y (0.000, 0.000, 0.000)
In (0.000, 0.000, 0.500)
Fe (0.500, 0.500, 0.000)
Ru (0.000, 0.500, 0.500)
Ru (0.500, 0.000, 0.500)

12.
Here is InFe3S after structural relaxation from Alexandria via LeMat-Bulk. Energies are from GGA-PBEsol.

Computed properties:
Its uncorrected formation energy is 0.081 eV/atom. The relative energy among the computed polymorphs is 0 meV per atom.

a b c (Å): 4.116 4.116 4.116
angles (deg): 90.00 90.00 90.00
Fractional positions:
In (0.000, 0.000, 0.000)
Fe (0.000, 0.500, 0.500)
Fe (0.500, 0.000, 0.500)
Fe (0.500, 0.500, 0.000)
S (0.500, 0.500, 0.500)

Number 1: volume 58.42 Å³ per cell. Number 2: volume 58.33 Å³ per cell. Number 3: volume 115.92 Å³ per cell. Number 4: volume 57.37 Å³ per cell. Number 5: volume 55.90 Å³ per cell. Number 6: volume 115.29 Å³ per cell. Number 7: volume 115.24 Å³ per cell. Number 8: volume 54.29 Å³ per cell. Number 9: volume 54.87 Å³ per cell. Number 10: volume 111.06 Å³ per cell. Number 11: volume 119.69 Å³ per cell. Number 12: volume 69.76 Å³ per cell.